## SmFeO3 (PBE with a Hubbard U)

Data for a relaxed structure of SmFeO3.

Cell lengths 6.202, 6.622, 7.877 Å; angles 90.00, 90.00, 90.00 degrees
Element x y z (fractional)
Sm 0.053 0.250 0.096
Sm 0.447 0.750 0.596
Sm 0.553 0.250 0.404
Sm 0.947 0.750 0.904
Fe 0.000 0.000 0.500
Fe 0.000 0.500 0.500
Fe 0.500 0.000 0.000
Fe 0.500 0.500 0.000
O 0.055 0.750 0.617
O 0.213 0.510 0.943
O 0.213 0.990 0.943
O 0.287 0.010 0.443
O 0.287 0.490 0.443
O 0.445 0.250 0.117
O 0.555 0.750 0.883
O 0.713 0.510 0.557
O 0.713 0.990 0.557
O 0.787 0.010 0.057
O 0.787 0.490 0.057
O 0.945 0.250 0.383

Summary:
V ... 16.2 Å³/atom
SG ... No. 62
VASP energy ... -7.30 eV/atom